VASP calculation (PBE with a Hubbard U) on crystalline LiCoGe2O at its relaxed geometry.

## Properties
Fermi-level density of states = 0.150 states/eV per atom
total energy = -0.2895 Ry per atom

Cell: 4.3291 4.3291 4.3078 Å, 90.00 90.00 90.00°
Element x y z (fractional)
Li: 0.0000 0.0000 0.0000
Co: 0.0000 0.0000 0.5000
Ge: 0.0000 0.5000 0.5000
Ge: 0.5000 0.0000 0.5000
O: 0.5000 0.5000 0.0000